No. 1
Crystalline Ac5Pr3Sm2 at its relaxed geometry. Source: Alexandria via LeMat-Bulk, functional PBE.

a = 9.510 Å, b = 9.540 Å, c = 11.849 Å
α = 119.44°, β = 119.37°, γ = 77.21°
Fractional coordinates of all 20 atoms:
Ac 0.280 0.530 0.060
Ac 0.720 0.470 0.940
Ac 0.025 0.775 0.551
Ac 0.523 0.273 0.546
Ac 0.975 0.225 0.449
Ac 0.477 0.727 0.454
Ac 0.896 0.641 0.776
Ac 0.104 0.359 0.224
Ac 0.381 0.136 0.776
Ac 0.619 0.864 0.224
Pr 0.213 0.963 0.926
Pr 0.787 0.037 0.074
Pr 0.719 0.471 0.244
Pr 0.281 0.529 0.756
Pr 0.025 0.773 0.244
Pr 0.975 0.227 0.756
Sm 0.773 0.024 0.776
Sm 0.227 0.976 0.224
Sm 0.503 0.752 0.776
Sm 0.497 0.248 0.224

Symmetry: No. 15
Calculated total energy, eV per atom: -4.2659

---

No. 2
Crystalline CaBSe2N at its relaxed geometry. Source: Alexandria via LeMat-Bulk, functional PBE.

a = 5.570 Å, b = 5.570 Å, c = 2.776 Å
α = 90.00°, β = 90.00°, γ = 90.00°
Fractional coordinates of all 5 atoms:
Ca 0.500 0.500 0.500
B 0.000 0.000 0.000
Se 0.000 0.500 0.000
Se 0.500 0.000 0.000
N 0.000 0.000 0.500

Symmetry: No. 123
Relative energy among the computed polymorphs, kJ/mol of atoms: 0.0
ΔE_f (raw), meV/atom: -359

---

No. 3
Crystalline NaNb2Ga at its relaxed geometry. Source: Alexandria via LeMat-Bulk, functional PBE.

a = 7.670 Å, b = 7.670 Å, c = 6.043 Å
α = 50.61°, β = 50.61°, γ = 90.00°
Fractional coordinates of all 8 atoms:
Na 0.500 0.500 0.000
Na 0.250 0.750 0.500
Nb 0.650 0.125 0.250
Nb 0.100 0.625 0.250
Nb 0.375 0.350 0.750
Nb 0.875 0.900 0.750
Ga 0.000 0.000 0.000
Ga 0.750 0.250 0.500

Symmetry: No. 122
Calculated total energy, eV per atom: -5.3817

---

| no. | DOS at the Fermi energy (states/eV/cell) |
| --- | --- |
| 1 | 37.58 |
| 2 | 3.38 |
| 3 | 6.73 |